YCrAgC2 after structural relaxation. Source: the Alexandria database, functional GGA-PBE.

Values from the calculation:
Calculated total energy, eV per cell: -33.05
DOS(E_F), states/eV per atom: 0.65
Crystal system: tetragonal
Formation energy from the elements, eV/f.u.: 4.341
Magnetization, μB per atom: 0.000

abc: 3.9513 3.9513 4.8056
angles: 90.00 90.00 90.00
Fractional coordinates of all 5 atoms:
1 Y 0.0000 0.0000 0.0000
2 Cr 0.5000 0.5000 0.5000
3 Ag 0.5000 0.5000 0.0000
4 C 0.0000 0.5000 0.5000
5 C 0.5000 0.0000 0.5000